A plane-wave DFT calculation with PBE was carried out for a geometry-optimized TbSc2Ag2 structure.

ΔH_f (0 K) ... -0.2055 eV/atom
Crystal system ... orthorhombic
DOS at the Fermi energy ... 20.4 states/eV/cell
Calculated volume ... 114 Å³/f.u.
DFT total energy ... -24.023 eV per formula unit

Cell and atoms, written as CIF:
```
data_TbSc2Ag2
_chemical_formula_sum 'Tb4 Sc8 Ag8'
_space_group_name_H-M_alt 'C m c m'
_space_group_IT_number 63
_space_group_name_Hall '-C 2c 2'
_cell_length_a 3.476
_cell_length_b 25.817
_cell_length_c 5.071
_cell_angle_alpha 90.00
_cell_angle_beta 90.00
_cell_angle_gamma 90.00
loop_
_atom_site_label
_atom_site_type_symbol
_atom_site_fract_x
_atom_site_fract_y
_atom_site_fract_z
Tb1 Tb 0.000 0.146 0.250
Sc1 Sc 0.000 0.048 0.750
Sc2 Sc 0.000 0.236 0.750
Ag1 Ag 0.000 0.356 0.250
Ag2 Ag 0.000 0.457 0.750
```